First-principles (GGA-PBE) data for a relaxed structure of SrCa2Zr, as listed in the Alexandria database.

Output
raw total energy = -12.41 eV/cell
formation energy from the elements = 0.456 eV/atom

a b c (Å): 5.896 5.896 5.896
angles (deg): 60.00 60.00 60.00
Atoms (fractional coordinates):
1 Sr 0.000 0.000 0.000
2 Ca 0.500 0.500 0.500
3 Ca 0.750 0.750 0.750
4 Zr 0.250 0.250 0.250